# CeNd2As3

CeNd2As3 after structural relaxation (PBE-GGA, the Alexandria database).

## Properties
DFT total energy in eV/atom: -6.394
Formation energy from the elements in eV per atom: -1.491
Space-group type: Immm, No. 71

abc: 4.2546 6.0132 12.7601
angles: 90.00 90.00 90.00
Closest atoms and distances in Å follow each position.
Positions (direct):
1 Ce 0.0000 0.0000 0.0000  6 As 2.97-3.01
2 Ce 0.5000 0.5000 0.5000  6 As 2.97-3.01
3 Nd 0.0000 0.0000 0.3328  6 As 3.01-3.04
4 Nd 0.0000 0.0000 0.6672  6 As 3.01-3.04
5 Nd 0.5000 0.5000 0.1672  6 As 3.01-3.04
6 Nd 0.5000 0.5000 0.8328  6 As 3.01-3.04
7 As 0.0000 0.5000 0.0000  2 Ce 3.01, 4 Nd 3.01
8 As 0.0000 0.5000 0.3372  2 Ce 2.97, 4 Nd 3.01-3.04
9 As 0.0000 0.5000 0.6628  2 Ce 2.97, 4 Nd 3.01-3.04
10 As 0.5000 0.0000 0.1628  2 Ce 2.97, 4 Nd 3.01-3.04
11 As 0.5000 0.0000 0.5000  2 Ce 3.01, 4 Nd 3.01
12 As 0.5000 0.0000 0.8372  2 Ce 2.97, 4 Nd 3.01-3.04